The following is a PBE-GGA calculation of a geometry-optimized MgSbMo2 structure, from Alexandria via LeMat-Bulk.

Unit cell a=3.083 b=3.083 c=26.969 alpha=90.00 beta=90.00 gamma=120.00
Atoms (fractional coordinates):
1 Mg 0.000 0.000 0.000
2 Mg 0.333 0.667 0.667
3 Mg 0.667 0.333 0.333
4 Sb 0.000 0.000 0.500
5 Sb 0.333 0.667 0.167
6 Sb 0.667 0.333 0.833
7 Mo 0.000 0.000 0.246
8 Mo 0.000 0.000 0.754
9 Mo 0.333 0.667 0.421
10 Mo 0.333 0.667 0.913
11 Mo 0.667 0.333 0.087
12 Mo 0.667 0.333 0.579

Results
SG: R-3m, No. 166
ΔE_f (raw): 0.51 eV/atom


The following is a PBE-GGA calculation of a geometry-optimized MgSbMo2 structure, from Alexandria via LeMat-Bulk.

Unit cell a=3.377 b=3.377 c=6.321 alpha=90.00 beta=90.00 gamma=90.00
Atoms (fractional coordinates):
1 Mg 0.000 0.000 0.000
2 Sb 0.500 0.500 0.284
3 Mo 0.000 0.000 0.537
4 Mo 0.500 0.500 0.756

Results
SG: P4mm, No. 99
ΔE_f (raw): 0.14 eV/atom


The following is a PBE-GGA calculation of a geometry-optimized MgSbMo2 structure, from Alexandria via LeMat-Bulk.

Unit cell a=5.757 b=6.670 c=3.670 alpha=90.00 beta=90.00 gamma=90.00
Atoms (fractional coordinates):
1 Mg 0.000 0.000 0.000
2 Mg 0.500 0.500 0.000
3 Sb 0.000 0.500 0.000
4 Sb 0.500 0.000 0.000
5 Mo 0.250 0.250 0.500
6 Mo 0.250 0.750 0.500
7 Mo 0.750 0.250 0.500
8 Mo 0.750 0.750 0.500

Results
SG: Cmmm, No. 65
ΔE_f (raw): 0.43 eV/atom


no.,energy above the lowest structure with this stoichiometry (kJ per mole of atoms)
1,35.89
2,0.00
3,28.25